[1]
! Cs2PaCuTe4 PBE relaxed; values from VASP
&SYSTEM
  ibrav = 0, nat = 8, ntyp = 4
/
ATOMIC_SPECIES
Cs 132.91 Cs.upf
Pa 231.04 Pa.upf
Cu 63.55 Cu.upf
Te 127.60 Te.upf
CELL_PARAMETERS angstrom
-4.874 -2.620 -4.828
-5.948 -3.912 2.542
-5.916 4.288 -1.940
ATOMIC_POSITIONS angstrom
Cs -5.932 0.188 0.301
Cs -8.369 -1.122 -2.113
Pa 0.000 0.000 0.000
Cu -2.437 -1.310 -2.414
Te -2.447 -1.543 0.267
Te -8.354 0.595 -5.606
Te -4.658 -0.121 -3.363
Te -6.154 -3.795 -0.353
! Formation energy from raw total energies = -668 meV per atom
! Crystal system = tetragonal
! Total magnetic moment = 0.0 μB per cell


[2]
! CsPaCu2Te4 PBE relaxed; values from VASP
&SYSTEM
  ibrav = 0, nat = 8, ntyp = 4
/
ATOMIC_SPECIES
Cs 132.91 Cs.upf
Pa 231.04 Pa.upf
Cu 63.55 Cu.upf
Te 127.60 Te.upf
CELL_PARAMETERS angstrom
6.646 0.000 0.000
3.323 7.055 -0.108
3.323 0.471 7.040
ATOMIC_POSITIONS angstrom
Cs 0.000 0.000 0.000
Pa 6.646 3.763 3.466
Cu 3.323 2.863 2.637
Cu 9.970 4.663 4.295
Te 5.063 1.326 3.532
Te 5.063 6.200 3.400
Te 8.229 3.629 1.032
Te 8.229 3.897 5.900
! Formation energy from raw total energies = -403 meV per atom
! Crystal system = orthorhombic
! Total magnetic moment = 0.0 μB per cell


[3]
! CsPaCuTe4 PBE relaxed; values from VASP
&SYSTEM
  ibrav = 0, nat = 14, ntyp = 4
/
ATOMIC_SPECIES
Cs 132.91 Cs.upf
Pa 231.04 Pa.upf
Cu 63.55 Cu.upf
Te 127.60 Te.upf
CELL_PARAMETERS angstrom
-6.790 3.240 0.138
-0.966 -1.768 -5.990
-1.369 -10.103 3.202
ATOMIC_POSITIONS angstrom
Cs -7.313 -8.433 -1.333
Cs -1.811 -0.198 -1.317
Pa -6.276 -3.471 -2.965
Pa -2.848 -5.160 0.315
Cu -3.095 -3.898 -3.352
Cu -6.029 -4.733 0.702
Te -1.485 -7.812 -0.820
Te -7.166 0.049 1.110
Te -7.639 -0.819 -1.830
Te -1.959 -8.679 -3.760
Te -4.129 -1.626 -3.856
Te -4.995 -7.005 1.206
Te -4.443 -5.902 -2.543
Te -4.681 -2.729 -0.107
! Formation energy from raw total energies = -741 meV per atom
! Crystal system = monoclinic
! Total magnetic moment = 0.5 μB per cell


Question: Which of these has the lowest formation energy from raw total energies?
Answer: CsPaCuTe4


Question: Number 2 is which compound?
Answer: CsPaCu2Te4


Question: What is the total magnetic moment in the first record?
Answer: 0.0 μB per cell